# GGA-PBE Nd3AlAg4, relaxed
# - Crystal system: orthorhombic
# - Calculated volume: 25.919 Å³ per atom
# - Formation energy from the elements: -0.096 eV per atom
# - DOS(E_F): 7.82 states/eV/cell
data_Nd3AlAg4
_space_group_name_H-M_alt 'I m m m'
_space_group_IT_number 71
_space_group_name_Hall '-I 2 2'
_cell_length_a 3.563
_cell_length_b 9.242
_cell_length_c 12.594
_cell_angle_alpha 90.00
_cell_angle_beta 90.00
_cell_angle_gamma 90.00
loop_
_atom_site_label
_atom_site_type_symbol
_atom_site_fract_x
_atom_site_fract_y
_atom_site_fract_z
Nd1 Nd 0.000 0.000 0.000
Nd2 Nd 0.000 0.500 0.212
Al1 Al 0.000 0.000 0.500
Ag1 Ag 0.000 0.255 0.384